No. 1
# BaCd3Pb3 (PBE, optimized geometry)
# * DFT total energy: -2.190 eV per atom
data_BaCd3Pb3
_chemical_formula_sum 'Ba2 Cd6 Pb6'
_cell_length_a 8.1673
_cell_length_b 8.1673
_cell_length_c 8.1673
_cell_angle_alpha 90.00
_cell_angle_beta 90.00
_cell_angle_gamma 90.00
_symmetry_space_group_name_H-M 'P m -3 n'
_symmetry_Int_Tables_number 223
_symmetry_space_group_name_Hall '-P 4n 2 3'
loop_
_atom_site_label
_atom_site_fract_x
_atom_site_fract_y
_atom_site_fract_z
_atom_site_occupancy
Ba1 0.0000 0.0000 0.0000 1
Cd1 0.0000 0.2500 0.5000 1
Pb1 0.0000 0.5000 0.2500 1

No. 2
# Nd3ErAl8 (PBE, optimized geometry)
# * DFT total energy: -4.553 eV per atom
data_Nd3ErAl8
_chemical_formula_sum 'Nd3 Er1 Al8'
_cell_length_a 5.6386
_cell_length_b 5.6386
_cell_length_c 9.2865
_cell_angle_alpha 90.00
_cell_angle_beta 90.00
_cell_angle_gamma 120.00
_symmetry_space_group_name_H-M 'P 3 m 1'
_symmetry_Int_Tables_number 156
loop_
_symmetry_equiv_pos_as_xyz
'x,y,z'
'-y,x-y,z'
'-x+y,-x,z'
'-y,-x,z'
'-x+y,y,z'
'x,x-y,z'
loop_
_atom_site_label
_atom_site_fract_x
_atom_site_fract_y
_atom_site_fract_z
_atom_site_occupancy
Nd1 0.0000 0.0000 0.0000 1
Nd2 0.0000 0.0000 0.3638 1
Nd3 0.3333 0.6667 0.8626 1
Er1 0.3333 0.6667 0.4989 1
Al1 0.0091 0.5046 0.1834 1
Al2 0.3248 0.1624 0.6771 1
Al3 0.6667 0.3333 0.4322 1
Al4 0.6667 0.3333 0.9286 1